# AcCeAgPd

AcCeAgPd after structural relaxation (PBE, the Alexandria database).

Cell lengths 5.3341, 5.3341, 5.3341 Å; angles 60.00, 60.00, 60.00 degrees
Element x y z (fractional)
Ac1 0.0000 0.0000 0.0000
Ce1 0.5000 0.5000 0.5000
Ag1 0.7500 0.7500 0.7500
Pd1 0.2500 0.2500 0.2500

Summary:
- Energy relative to the elements: -356 meV/atom


# AcCePrAg

AcCePrAg after structural relaxation (PBE, the Alexandria database).

Cell lengths 5.6066, 5.6066, 5.6066 Å; angles 60.00, 60.00, 60.00 degrees
Element x y z (fractional)
Ac1 0.0000 0.0000 0.0000
Ce1 0.7500 0.7500 0.7500
Pr1 0.2500 0.2500 0.2500
Ag1 0.5000 0.5000 0.5000

Summary:
- Energy relative to the elements: 209 meV/atom


# AcCeAgPt

AcCeAgPt after structural relaxation (PBE, the Alexandria database).

Cell lengths 5.3092, 5.3092, 5.3092 Å; angles 60.00, 60.00, 60.00 degrees
Element x y z (fractional)
Ac1 0.0000 0.0000 0.0000
Ce1 0.5000 0.5000 0.5000
Ag1 0.7500 0.7500 0.7500
Pt1 0.2500 0.2500 0.2500

Summary:
- Energy relative to the elements: -533 meV/atom


# Ac2CeAgS5

Ac2CeAgS5 after structural relaxation (PBE, the Alexandria database).

Cell lengths 8.8478, 8.8478, 12.5454 Å; angles 90.00, 90.00, 152.73 degrees
Element x y z (fractional)
Ac1 0.1149 0.8851 0.5000
Ac2 0.1244 0.8756 0.1206
Ac3 0.8756 0.1244 0.6206
Ac4 0.8851 0.1149 0.0000
Ce1 0.1921 0.8079 0.8179
Ce2 0.8079 0.1921 0.3179
Ag1 0.4786 0.5214 0.2884
Ag2 0.5214 0.4786 0.7884
S1 0.0441 0.9559 0.8921
S2 0.2936 0.7064 0.4737
S3 0.3051 0.6949 0.1612
S4 0.3559 0.6441 0.8158
S5 0.4992 0.5008 0.0922
S6 0.5008 0.4992 0.5922
S7 0.6441 0.3559 0.3158
S8 0.6949 0.3051 0.6612
S9 0.7064 0.2936 0.9737
S10 0.9559 0.0441 0.3921

Summary:
- E_form (uncorrected): -1.76 eV/atom


# AcCeAgSb

AcCeAgSb after structural relaxation (PBE, the Alexandria database).

Cell lengths 5.5517, 5.5517, 5.5517 Å; angles 60.00, 60.00, 60.00 degrees
Element x y z (fractional)
Ac1 0.0000 0.0000 0.0000
Ce1 0.5000 0.5000 0.5000
Ag1 0.7500 0.7500 0.7500
Sb1 0.2500 0.2500 0.2500

Summary:
- E_form (uncorrected): -0.49 eV/atom


# AcCeScAg

AcCeScAg after structural relaxation (PBE, the Alexandria database).

Cell lengths 5.4017, 5.4017, 5.4017 Å; angles 60.00, 60.00, 60.00 degrees
Element x y z (fractional)
Ac1 0.0000 0.0000 0.0000
Ce1 0.7500 0.7500 0.7500
Sc1 0.2500 0.2500 0.2500
Ag1 0.5000 0.5000 0.5000

Summary:
- Energy relative to the elements: 208 meV/atom